No. 1
The following is a DFT calculation (PBE) of Rb2PuHfO6 after structural relaxation.

Lattice parameters (Å, degrees): 5.9683 5.9678 8.4403 90.00 90.00 90.00
Last column: nearest neighbours and their distance in Å.
Fractional positions:
Rb: 0.5000 0.7499 0.2500  12 O 2.98
Rb: 0.0000 0.2501 0.7500  12 O 2.98
Rb: 0.5000 0.7499 0.7500  12 O 2.98
Rb: 0.0000 0.2501 0.2500  12 O 2.98
Pu: 0.5000 0.2500 0.5000  6 O 2.10
Pu: 0.0000 0.7500 0.0000  6 O 2.10
Hf: 0.0000 0.7501 0.5000  6 O 2.12
Hf: 0.5000 0.2499 0.0000  6 O 2.12
O: 0.5000 0.2500 0.2507  1 Pu 2.10, 1 Hf 2.12
O: 0.5000 0.2500 0.7493  1 Pu 2.10, 1 Hf 2.12
O: 0.0000 0.7500 0.2493  1 Pu 2.10, 1 Hf 2.12
O: 0.0000 0.7500 0.7507  1 Pu 2.10, 1 Hf 2.12
O: 0.2507 0.0008 0.5000  1 Pu 2.10, 1 Hf 2.12
O: 0.7493 0.0008 0.5000  1 Pu 2.10, 1 Hf 2.12
O: 0.2507 0.4994 0.5000  1 Pu 2.10, 1 Hf 2.12
O: 0.7493 0.4994 0.5000  1 Pu 2.10, 1 Hf 2.12
O: 0.7507 0.5006 0.0000  1 Pu 2.10, 1 Hf 2.12
O: 0.2493 0.5006 0.0000  1 Pu 2.10, 1 Hf 2.12
O: 0.2493 0.9992 0.0000  1 Pu 2.10, 1 Hf 2.12
O: 0.7507 0.9992 0.0000  1 Pu 2.10, 1 Hf 2.12

## Properties
Its crystal system is cubic. Its uncorrected formation energy is -2511 kJ/mol of formula units. For the electronic total energy, the calculation gives -8.199 eV per atom. As for the theoretical density: 7.616 g cm⁻³.

No. 2
The following is a DFT calculation (PBE) of YHo3In after structural relaxation.

Lattice parameters (Å, degrees): 4.7976 4.7871 12.8233 90.00 79.22 90.00
Last column: nearest neighbours and their distance in Å.
Fractional positions:
Y: 0.4735 0.7500 0.7013  4 In 3.39, 8 Ho 3.43-3.49
Y: 0.1748 0.2500 0.2987  4 In 3.39, 8 Ho 3.43-3.49
Ho: 0.7722 0.2500 0.1039  8 Ho 3.39-3.55, 2 Y 3.43, 2 In 3.48
Ho: 0.3726 0.2500 0.9032  8 Ho 3.39-3.49, 2 Y 3.49, 2 In 3.55
Ho: 0.5744 0.2500 0.4995  4 Ho 3.39, 4 In 3.43-3.44, 4 Y 3.49
Ho: 0.2757 0.7500 0.0968  8 Ho 3.39-3.49, 2 Y 3.49, 2 In 3.55
Ho: 0.8761 0.7500 0.8961  8 Ho 3.39-3.55, 2 Y 3.43, 2 In 3.48
Ho: 0.0739 0.7500 0.5005  4 Ho 3.39, 4 In 3.43-3.44, 4 Y 3.49
In: 0.6720 0.7500 0.3043  4 Y 3.39, 8 Ho 3.43-3.55
In: 0.9763 0.2500 0.6957  4 Y 3.39, 8 Ho 3.43-3.55

## Properties
Its crystal system is orthorhombic. For the electronic total energy, the calculation gives -4.774 eV per atom. The calculation puts the energy relative to the lowest polymorph listed for this composition at 0 meV/atom. As for the theoretical density: 8.018 g cm⁻³.

No. 3
The following is a DFT calculation (PBE) of CeZrGe after structural relaxation.

Lattice parameters (Å, degrees): 3.7250 3.7250 10.4574 71.42 71.42 89.53
Last column: nearest neighbours and their distance in Å.
Fractional positions:
Ce: 0.6276 0.6276 0.5859  1 Ce 2.69, 1 Zr 2.99
Ce: 0.3724 0.3724 0.4141  1 Ce 2.69, 1 Zr 2.99
Zr: 0.6688 0.6688 0.0946  5 Ge 2.88-2.95, 1 Ce 2.99, 4 Zr 3.16-3.21
Zr: 0.3312 0.3312 0.9054  5 Ge 2.88-2.95, 1 Ce 2.99, 4 Zr 3.16-3.21
Ge: 0.9445 0.9445 0.7792  5 Zr 2.88-2.95, 3 Ce 3.15-3.19
Ge: 0.0555 0.0555 0.2208  5 Zr 2.88-2.95, 3 Ce 3.15-3.19

## Properties
Its crystal system is monoclinic. For the electronic total energy, the calculation gives -6.865 eV per atom. As for the theoretical density: 7.786 g cm⁻³.